(A)
InPtRh: optimized geometry, GGA-PBE.

The structure in CIF format:
```
data_InPtRh
_space_group_name_H-M_alt 'C m c m'
_space_group_IT_number 63
_space_group_name_Hall '-C 2c 2'
_cell_length_a 4.585
_cell_length_b 7.938
_cell_length_c 5.511
_cell_angle_alpha 90.00
_cell_angle_beta 90.00
_cell_angle_gamma 90.00
loop_
_atom_site_label
_atom_site_type_symbol
_atom_site_fract_x
_atom_site_fract_y
_atom_site_fract_z
In1 In 0.000 0.166 0.250
Pt1 Pt 0.000 0.500 0.000
Rh1 Rh 0.000 0.167 0.750
```


(B)
InPtRh: optimized geometry, GGA-PBE.

The structure in CIF format:
```
data_InPtRh
_space_group_name_H-M_alt 'P 3 m 1'
_space_group_IT_number 156
_space_group_name_Hall 'P 3 -2"'
_cell_length_a 4.4931
_cell_length_b 4.4931
_cell_length_c 2.8917
_cell_angle_alpha 90.00
_cell_angle_beta 90.00
_cell_angle_gamma 120.00
loop_
_atom_site_label
_atom_site_type_symbol
_atom_site_fract_x
_atom_site_fract_y
_atom_site_fract_z
In1 In 0.0000 0.0000 0.0000
Pt1 Pt 0.6667 0.3333 0.2676
Rh1 Rh 0.3333 0.6667 0.7036
```


(C)
InPtRh: optimized geometry, GGA-PBE.

The structure in CIF format:
```
data_InPtRh
_space_group_name_H-M_alt 'P 63/m m c'
_space_group_IT_number 194
_space_group_name_Hall '-P 6c 2c'
_cell_length_a 4.5604
_cell_length_b 4.5604
_cell_length_c 5.6418
_cell_angle_alpha 90.00
_cell_angle_beta 90.00
_cell_angle_gamma 120.00
loop_
_atom_site_label
_atom_site_type_symbol
_atom_site_fract_x
_atom_site_fract_y
_atom_site_fract_z
In1 In 0.3333 0.6667 0.2500
Pt1 Pt 0.3333 0.6667 0.7500
Rh1 Rh 0.0000 0.0000 0.0000
```


(D)
InPtRh: optimized geometry, GGA-PBE.

The structure in CIF format:
```
data_InPtRh
_space_group_name_H-M_alt 'P 1 2/m 1'
_space_group_IT_number 10
_space_group_name_Hall '-P 2y'
_cell_length_a 4.552
_cell_length_b 2.863
_cell_length_c 4.567
_cell_angle_alpha 90.00
_cell_angle_beta 97.94
_cell_angle_gamma 90.00
loop_
_atom_site_label
_atom_site_type_symbol
_atom_site_fract_x
_atom_site_fract_y
_atom_site_fract_z
In1 In 0.000 0.000 0.000
Pt1 Pt 0.500 0.000 0.500
Rh1 Rh 0.000 0.500 0.500
```


Q: Which of them is the most stable? A: (A).


(A)
InPt3Rh: optimized geometry, GGA-PBE.

The structure in CIF format:
```
data_InPt3Rh
_space_group_name_H-M_alt 'C m c m'
_space_group_IT_number 63
_space_group_name_Hall '-C 2c 2'
_cell_length_a 3.983
_cell_length_b 20.174
_cell_length_c 4.016
_cell_angle_alpha 90.00
_cell_angle_beta 90.00
_cell_angle_gamma 90.00
loop_
_atom_site_label
_atom_site_type_symbol
_atom_site_fract_x
_atom_site_fract_y
_atom_site_fract_z
In1 In 0.000 0.149 0.250
Pt1 Pt 0.000 0.051 0.750
Pt2 Pt 0.000 0.249 0.750
Pt3 Pt 0.000 0.452 0.750
Rh1 Rh 0.000 0.350 0.250
```


(B)
InPt3Rh: optimized geometry, GGA-PBE.

The structure in CIF format:
```
data_InPt3Rh
_space_group_name_H-M_alt 'P m -3 m'
_space_group_IT_number 221
_space_group_name_Hall '-P 4 2 3'
_cell_length_a 4.849
_cell_length_b 4.849
_cell_length_c 4.849
_cell_angle_alpha 90.00
_cell_angle_beta 90.00
_cell_angle_gamma 90.00
loop_
_atom_site_label
_atom_site_type_symbol
_atom_site_fract_x
_atom_site_fract_y
_atom_site_fract_z
In1 In 0.000 0.000 0.000
Pt1 Pt 0.000 0.500 0.500
Rh1 Rh 0.500 0.500 0.500
```


Q: Which of them is the most stable? A: (A).


(A)
InRuPt: optimized geometry, GGA-PBE.

The structure in CIF format:
```
data_InRuPt
_space_group_name_H-M_alt 'I 4 m m'
_space_group_IT_number 107
_space_group_name_Hall 'I 4 -2'
_cell_length_a 2.920
_cell_length_b 2.920
_cell_length_c 11.662
_cell_angle_alpha 90.00
_cell_angle_beta 90.00
_cell_angle_gamma 90.00
loop_
_atom_site_label
_atom_site_type_symbol
_atom_site_fract_x
_atom_site_fract_y
_atom_site_fract_z
In1 In 0.000 0.000 0.000
Ru1 Ru 0.000 0.000 0.332
Pt1 Pt 0.000 0.000 0.678
```


(B)
InRuPt: optimized geometry, GGA-PBE.

The structure in CIF format:
```
data_InRuPt
_space_group_name_H-M_alt 'P 3 m 1'
_space_group_IT_number 156
_space_group_name_Hall 'P 3 -2"'
_cell_length_a 2.9488
_cell_length_b 2.9488
_cell_length_c 6.6692
_cell_angle_alpha 90.00
_cell_angle_beta 90.00
_cell_angle_gamma 120.00
loop_
_atom_site_label
_atom_site_type_symbol
_atom_site_fract_x
_atom_site_fract_y
_atom_site_fract_z
In1 In 0.0000 0.0000 0.0000
Ru1 Ru 0.3333 0.6667 0.6662
Pt1 Pt 0.6667 0.3333 0.3430
```


(C)
InRuPt: optimized geometry, GGA-PBE.

The structure in CIF format:
```
data_InRuPt
_space_group_name_H-M_alt 'F -4 3 m'
_space_group_IT_number 216
_space_group_name_Hall 'F -4 2 3'
_cell_length_a 6.207
_cell_length_b 6.207
_cell_length_c 6.207
_cell_angle_alpha 90.00
_cell_angle_beta 90.00
_cell_angle_gamma 90.00
loop_
_atom_site_label
_atom_site_type_symbol
_atom_site_fract_x
_atom_site_fract_y
_atom_site_fract_z
In1 In 0.000 0.000 0.000
Ru1 Ru 0.000 0.000 0.500
Pt1 Pt 0.250 0.250 0.250
```


Q: Which of them is the most stable? A: (A).


(A)
InPt3S: optimized geometry, GGA-PBE.

The structure in CIF format:
```
data_InPt3S
_space_group_name_H-M_alt 'P m -3 m'
_space_group_IT_number 221
_space_group_name_Hall '-P 4 2 3'
_cell_length_a 4.582
_cell_length_b 4.582
_cell_length_c 4.582
_cell_angle_alpha 90.00
_cell_angle_beta 90.00
_cell_angle_gamma 90.00
loop_
_atom_site_label
_atom_site_type_symbol
_atom_site_fract_x
_atom_site_fract_y
_atom_site_fract_z
In1 In 0.000 0.000 0.000
Pt1 Pt 0.000 0.500 0.500
S1 S 0.500 0.500 0.500
```


(B)
InPt3S: optimized geometry, GGA-PBE.

The structure in CIF format:
```
data_InPt3S
_space_group_name_H-M_alt 'P m -3 m'
_space_group_IT_number 221
_space_group_name_Hall '-P 4 2 3'
_cell_length_a 4.955
_cell_length_b 4.955
_cell_length_c 4.955
_cell_angle_alpha 90.00
_cell_angle_beta 90.00
_cell_angle_gamma 90.00
loop_
_atom_site_label
_atom_site_type_symbol
_atom_site_fract_x
_atom_site_fract_y
_atom_site_fract_z
In1 In 0.000 0.000 0.000
Pt1 Pt 0.000 0.000 0.500
S1 S 0.500 0.500 0.500
```


Q: Which of them is the most stable? A: (A).